Entry 1:
Crystalline Ta3MnPb at its relaxed geometry. Source: Alexandria, functional GGA-PBE.

a b c (Å): 4.6587 4.6587 4.6587
angles (deg): 90.00 90.00 90.00
Closest atoms and distances in Å follow each position.
Atoms (fractional coordinates):
Pb: 0.5000 0.5000 0.5000  12 Ta 3.29
Mn: 0.0000 0.0000 0.0000  6 Ta 2.33
Ta: 0.0000 0.5000 0.0000  2 Mn 2.33
Ta: 0.0000 0.0000 0.5000  2 Mn 2.33
Ta: 0.5000 0.0000 0.0000  2 Mn 2.33

Output
For the uncorrected energy, the calculation gives -8.98 eV per atom. The calculation puts the total moment at 0.0 μB per formula unit. The calculation puts the formation energy at 3.55 eV per formula unit. The density of states at the Fermi level comes out at 3.59 states/eV/cell. Its space-group type is No. 221.

Entry 2:
Crystalline TaMnPb2 at its relaxed geometry. Source: Alexandria, functional GGA-PBE.

a b c (Å): 4.5969 3.3555 5.9481
angles (deg): 72.03 90.00 90.00
Closest atoms and distances in Å follow each position.
Atoms (fractional coordinates):
Mn: 0.5000 0.6335 0.7452  2 Ta 2.72, 3 Pb 2.83-2.97
Pb: 0.0000 0.9623 0.9489  3 Ta 2.90-3.18, 4 Mn 2.97-3.18
Pb: 0.5000 0.2722 0.3039  2 Mn 2.83-3.17, 4 Ta 3.00-3.12
Ta: 0.0000 0.6320 0.5020  2 Mn 2.72, 3 Pb 2.90-3.00

Output
For the uncorrected energy, the calculation gives -6.56 eV per atom. The calculation puts the total moment at 2.7 μB per formula unit. The calculation puts the formation energy at 2.20 eV per formula unit. The density of states at the Fermi level comes out at 3.19 states/eV/cell. Its space-group type is No. 6.

Entry 3:
Crystalline Ta2MnTlPb at its relaxed geometry. Source: Alexandria, functional GGA-PBE.

a b c (Å): 5.1476 5.5310 5.1476
angles (deg): 90.00 90.00 90.00
Closest atoms and distances in Å follow each position.
Atoms (fractional coordinates):
Pb: 0.0000 0.5000 0.0000  2 Tl 2.77
Tl: 0.0000 0.0000 0.0000  4 Ta 2.57, 2 Pb 2.77
Mn: 0.5000 0.5000 0.5000  4 Pb 3.64, 8 Ta 3.78
Ta: 0.0000 0.0000 0.5000  2 Tl 2.57
Ta: 0.5000 0.0000 0.0000  2 Tl 2.57

Output
For the uncorrected energy, the calculation gives -5.04 eV per atom. The calculation puts the total moment at 0.1 μB per formula unit. The calculation puts the formation energy at 13.76 eV per formula unit. The density of states at the Fermi level comes out at 5.92 states/eV/cell. Its space-group type is No. 123.

Entry 4:
Crystalline MnTc2Pb at its relaxed geometry. Source: Alexandria, functional GGA-PBE.

a b c (Å): 7.2468 7.2468 5.7662
angles (deg): 51.07 51.07 90.00
Closest atoms and distances in Å follow each position.
Atoms (fractional coordinates):
Pb: 0.0000 0.0000 0.0000  2 Mn 2.64
Pb: 0.7500 0.2500 0.5000  2 Mn 2.64
Mn: 0.5000 0.5000 0.0000  4 Tc 2.32
Mn: 0.2500 0.7500 0.5000  4 Tc 2.32
Tc: 0.5527 0.1250 0.2500  2 Mn 2.32
Tc: 0.1973 0.6250 0.2500  2 Mn 2.32
Tc: 0.3750 0.4473 0.7500  2 Mn 2.32
Tc: 0.8750 0.8027 0.7500  2 Mn 2.32

Output
For the uncorrected energy, the calculation gives -7.59 eV per atom. The calculation puts the total moment at 0.0 μB per formula unit. The calculation puts the formation energy at 3.23 eV per formula unit. The density of states at the Fermi level comes out at 14.15 states/eV/cell. Its space-group type is No. 122.

Entry 5:
Crystalline Mn2TcPb at its relaxed geometry. Source: Alexandria, functional GGA-PBE.

a b c (Å): 3.7883 4.1681 4.1681
angles (deg): 90.00 90.00 90.00
Closest atoms and distances in Å follow each position.
Atoms (fractional coordinates):
Mn: 0.0000 0.0000 0.0000  4 Pb 2.82, 4 Tc 2.82, 4 Mn 2.95
Mn: 0.0000 0.5000 0.5000  4 Pb 2.82, 4 Tc 2.82, 4 Mn 2.95
Pb: 0.5000 0.5000 0.0000  8 Mn 2.82, 4 Tc 2.95
Tc: 0.5000 0.0000 0.5000  8 Mn 2.82, 4 Pb 2.95

Output
For the uncorrected energy, the calculation gives -7.63 eV per atom. The calculation puts the total moment at 7.2 μB per formula unit. The calculation puts the formation energy at 1.90 eV per formula unit. The density of states at the Fermi level comes out at 2.90 states/eV/cell. Its space-group type is No. 123.

Entry 6:
Crystalline Mn2TcPb at its relaxed geometry. Source: Alexandria, functional GGA-PBE.

a b c (Å): 4.7212 4.7212 3.0719
angles (deg): 90.02 90.02 107.61
Closest atoms and distances in Å follow each position.
Atoms (fractional coordinates):
Mn: 0.0000 0.0000 0.0000  4 Mn 2.79-3.07, 4 Pb 2.82, 4 Tc 2.82
Mn: 0.5000 0.5000 0.0000  4 Mn 2.79-3.07, 4 Tc 2.82, 4 Pb 2.82
Pb: 0.5000 0.0000 0.5000  2 Tc 2.79, 8 Mn 2.82, 2 Pb 3.07
Tc: 0.0000 0.5000 0.5000  2 Pb 2.79, 8 Mn 2.82, 2 Tc 3.07

Output
For the uncorrected energy, the calculation gives -7.58 eV per atom. The calculation puts the total moment at 5.8 μB per formula unit. The calculation puts the formation energy at 2.09 eV per formula unit. The density of states at the Fermi level comes out at 4.71 states/eV/cell. Its space-group type is No. 65.

Please write out number 3 again, unchanged.
Crystalline Ta2MnTlPb at its relaxed geometry. Source: Alexandria, functional GGA-PBE.

a b c (Å): 5.1476 5.5310 5.1476
angles (deg): 90.00 90.00 90.00
Closest atoms and distances in Å follow each position.
Atoms (fractional coordinates):
Pb: 0.0000 0.5000 0.0000  2 Tl 2.77
Tl: 0.0000 0.0000 0.0000  4 Ta 2.57, 2 Pb 2.77
Mn: 0.5000 0.5000 0.5000  4 Pb 3.64, 8 Ta 3.78
Ta: 0.0000 0.0000 0.5000  2 Tl 2.57
Ta: 0.5000 0.0000 0.0000  2 Tl 2.57

Output
For the uncorrected energy, the calculation gives -5.04 eV per atom. The calculation puts the total moment at 0.1 μB per formula unit. The calculation puts the formation energy at 13.76 eV per formula unit. The density of states at the Fermi level comes out at 5.92 states/eV/cell. Its space-group type is No. 123.